Entry 1:
Entry from Alexandria via LeMat-Bulk: an optimized crystal structure of KTl12Se6 (PBE).

a b c (Å): 14.3724 14.3724 11.2824
angles (deg): 90.00 90.00 120.00
With the nearest neighbours (Å) after each atom.
Space group R-3m (No. 166, hexagonal axes)
Inequivalent atoms, fractional coordinates:
K 0.0000 0.0000 0.0000 (multiplicity 3)  18 Tl 4.57-4.85, 6 Se 4.57
Tl 0.0000 0.3832 0.5000 (multiplicity 18)  4 Se 3.03-3.38, 1 Tl 3.36
Tl 0.0865 0.1729 0.3575 (multiplicity 18)  1 Se 2.98
Se 0.0245 0.5122 0.2415 (multiplicity 18)  3 Tl 2.98-3.03

Results
Calculated total energy ... -2.9712 eV/atom
Formation energy (no corrections) ... -0.3186 eV per atom

---

Entry 2:
Entry from Alexandria via LeMat-Bulk: an optimized crystal structure of LaTlRe (PBE).

a b c (Å): 17.8677 4.4830 4.0423
angles (deg): 90.00 92.69 90.00
With the nearest neighbours (Å) after each atom.
Space group Cm (No. 8)
Inequivalent atoms, fractional coordinates:
La 0.0000 0.0000 0.0000 (multiplicity 2)  1 Re 2.83
La 0.2167 0.0000 0.0422 (multiplicity 2)  6 Re 3.14-3.18
Tl 0.1051 0.5000 0.5244 (multiplicity 2)  1 Re 2.92
Tl 0.3871 0.0000 0.5487 (multiplicity 2)  6 Re 3.03-3.22
Re 0.2685 0.5000 0.5604 (multiplicity 2)  2 Re 2.42
Re 0.3431 0.5000 0.0756 (multiplicity 2)  2 Re 2.42

Results
Formation enthalpy at 0 K ... 0.16 eV/atom
Calculated total energy ... -6.4168 eV/atom
Excess energy over the best structure of this formula in the dataset ... 62 kJ/mol of formula units

---

Entry 3:
Entry from Alexandria via LeMat-Bulk: an optimized crystal structure of PaBe2Pt2 (PBE).

a b c (Å): 5.0229 6.6836 9.4788
angles (deg): 90.00 90.00 90.00
With the nearest neighbours (Å) after each atom.
Space group Fmmm (No. 69)
Inequivalent atoms, fractional coordinates:
Pa 0.0000 0.0000 0.0000 (multiplicity 4)  4 Pt 2.86, 8 Be 3.16
Be 0.2500 0.2500 0.2500 (multiplicity 8)  4 Pt 2.31, 2 Be 2.51
Pt 0.0000 0.0000 0.3550 (multiplicity 8)  4 Be 2.31

Results
Formation enthalpy at 0 K ... -0.76 eV/atom
Calculated total energy ... -6.5619 eV/atom
Excess energy over the best structure of this formula in the dataset ... 4 kJ/mol of formula units

---

Entry 4:
Entry from Alexandria via LeMat-Bulk: an optimized crystal structure of Nd3Cd3Hg2 (PBE).

a b c (Å): 5.2173 5.2993 7.7441
angles (deg): 90.00 90.00 90.00
With the nearest neighbours (Å) after each atom.
Space group Pmmm (No. 47)
Inequivalent atoms, fractional coordinates:
Nd 0.0000 0.0000 0.0000 (multiplicity 1)  4 Hg 3.28, 4 Cd 3.36
Nd 0.0000 0.0000 0.5000 (multiplicity 1)  4 Cd 3.20, 4 Hg 3.22
Nd 0.5000 0.5000 0.0000 (multiplicity 1)  4 Hg 3.31, 4 Cd 3.33
Cd 0.0000 0.5000 0.2673 (multiplicity 2)  2 Cd 3.17, 6 Nd 3.20-3.36
Cd 0.5000 0.5000 0.5000 (multiplicity 1)  4 Cd 3.17, 4 Hg 3.25
Hg 0.5000 0.0000 0.2569 (multiplicity 2)  6 Nd 3.22-3.31, 2 Cd 3.25

Results
Formation enthalpy at 0 K ... -0.35 eV/atom
Calculated total energy ... -2.5576 eV/atom
Excess energy over the best structure of this formula in the dataset ... 0 kJ/mol of formula units

---

Entry 5:
Entry from Alexandria via LeMat-Bulk: an optimized crystal structure of Rb8Sb2S (PBE).

a b c (Å): 21.5062 6.1331 8.3013
angles (deg): 90.00 111.06 90.00
With the nearest neighbours (Å) after each atom.
Space group C2/m (No. 12)
Inequivalent atoms, fractional coordinates:
Rb 0.0137 0.0000 0.2842 (multiplicity 4)  2 S 3.62, 1 Sb 3.69, 3 Rb 3.83-3.85
Rb 0.0957 0.5000 0.9120 (multiplicity 4)  1 S 3.30
Rb 0.1547 0.5000 0.4490 (multiplicity 4)  1 S 3.50, 2 Sb 3.88, 1 Rb 3.90
Rb 0.2196 0.0000 0.7922 (multiplicity 4)  3 Sb 3.75-3.89, 4 Rb 3.85-4.08
Sb 0.1652 0.0000 0.1734 (multiplicity 4)  9 Rb 3.69-4.01
S 0.0000 0.5000 0.5000 (multiplicity 2)  8 Rb 3.30-3.62

Results
Calculated total energy ... -2.3344 eV/atom
Excess energy over the best structure of this formula in the dataset ... 0 kJ/mol of formula units
Formation energy (no corrections) ... -0.5059 eV per atom

---

Entry 6:
Entry from Alexandria via LeMat-Bulk: an optimized crystal structure of CaBeRh2 (PBE).

a b c (Å): 4.6034 4.6034 15.1470
angles (deg): 90.00 90.00 90.00
With the nearest neighbours (Å) after each atom.
Space group I-42d (No. 122)
Inequivalent atoms, fractional coordinates:
Ca 0.0000 0.0000 0.0000 (multiplicity 4)  4 Rh 2.90
Be 0.0000 0.0000 0.5000 (multiplicity 4)  4 Rh 2.26
Rh 0.0932 0.7500 0.6250 (multiplicity 8)  2 Be 2.26, 2 Rh 2.46

Results
Formation enthalpy at 0 K ... 0.05 eV/atom
Calculated total energy ... -5.0615 eV/atom

---

Entry 7:
Entry from Alexandria via LeMat-Bulk: an optimized crystal structure of TbEuEr2 (PBE).

a b c (Å): 5.8646 5.8646 3.8230
angles (deg): 90.00 90.00 90.00
With the nearest neighbours (Å) after each atom.
Space group P4/mmm (No. 123)
Inequivalent atoms, fractional coordinates:
Tb 0.0000 0.0000 0.0000 (multiplicity 1)  8 Er 3.50, 2 Tb 3.82
Eu 0.5000 0.5000 0.0000 (multiplicity 1)  8 Er 3.50, 2 Eu 3.82
Er 0.0000 0.5000 0.5000 (multiplicity 2)  4 Tb 3.50, 4 Eu 3.50, 2 Er 3.82

Results
Formation enthalpy at 0 K ... 0.16 eV/atom
Calculated total energy ... -5.8500 eV/atom
Excess energy over the best structure of this formula in the dataset ... 36 kJ/mol of formula units

---

Entry 8:
Entry from Alexandria via LeMat-Bulk: an optimized crystal structure of YGaPCl2 (PBE).

a b c (Å): 5.2343 5.2343 5.5638
angles (deg): 90.00 90.00 90.00
With the nearest neighbours (Å) after each atom.
Space group P4/mmm (No. 123)
Inequivalent atoms, fractional coordinates:
Y 0.0000 0.0000 0.0000 (multiplicity 1)  4 Cl 2.62, 2 P 2.78
Ga 0.5000 0.5000 0.5000 (multiplicity 1)  4 P 3.70, 8 Cl 3.82
P 0.0000 0.0000 0.5000 (multiplicity 1)  2 Y 2.78
Cl 0.0000 0.5000 0.0000 (multiplicity 2)  2 Y 2.62

Results
Calculated total energy ... -4.5693 eV/atom
Excess energy over the best structure of this formula in the dataset ... 0 kJ/mol of formula units
Formation energy (no corrections) ... -0.8505 eV per atom

---

The lowest calculated total energy belongs to which entry? PaBe2Pt2

---

calculated total energy of number 3 (PaBe2Pt2)? -6.5619 eV/atom

---

Number 3 is which compound? PaBe2Pt2

---

Which value of calculated total energy does entry 8 give? -4.5693 eV/atom